The following is a GGA-PBE calculation of a relaxed YP crystal, from Alexandria.

Summary:
* SG: Fm-3m (225)
* uncorrected energy: -0.5561 Ry per atom
* energy of formation: -1629 meV/atom
* total moment: 0.00 μB/f.u.

Unit cell a=4.013 b=4.013 c=4.013 alpha=60.00 beta=60.00 gamma=60.00
Element x y z (fractional)
Y  0.500  0.500  0.500
P  0.000  0.000  0.000